No. 1
This record from Alexandria describes a relaxed structure of YTl2W. The functional is GGA-PBEsol.

Structure (CIF):
```
data_YTl2W
_space_group_name_H-M_alt 'P 1'
_space_group_IT_number 1
_cell_length_a 3.145
_cell_length_b 3.145
_cell_length_c 9.542
_cell_angle_alpha 90.00
_cell_angle_beta 90.00
_cell_angle_gamma 105.76
loop_
_space_group_symop_operation_xyz
'x,y,z'
loop_
_atom_site_label
_atom_site_type_symbol
_atom_site_fract_x
_atom_site_fract_y
_atom_site_fract_z
Y1 Y 0.000 0.000 0.000
Tl1 Tl 0.000 0.000 0.545
Tl2 Tl 0.500 0.500 0.279
W1 W 0.500 0.500 0.773
```

Results
* volume: 22.71 A^3/atom
* ΔE to the lowest computed polymorph: 9 kJ/mol of formula units
* N(E_F): 3.6 states/eV/f.u.
* total DFT energy (no corrections): -5.96 eV per atom
* calculated formation energy: 510 meV/atom

---

No. 2
This record from Alexandria describes a relaxed structure of TlZnW2. The functional is GGA-PBEsol.

Structure (CIF):
```
data_TlZnW2
_space_group_name_H-M_alt 'P 1'
_space_group_IT_number 1
_cell_length_a 2.785
_cell_length_b 4.245
_cell_length_c 5.733
_cell_angle_alpha 90.00
_cell_angle_beta 90.00
_cell_angle_gamma 90.00
loop_
_space_group_symop_operation_xyz
'x,y,z'
loop_
_atom_site_label
_atom_site_type_symbol
_atom_site_fract_x
_atom_site_fract_y
_atom_site_fract_z
Tl1 Tl 0.000 0.000 0.000
Zn1 Zn 0.000 0.000 0.500
W1 W 0.500 0.500 0.283
W2 W 0.500 0.500 0.717
```

Results
* volume: 16.95 A^3/atom
* ΔE to the lowest computed polymorph: 112 kJ/mol of formula units
* N(E_F): 2.9 states/eV/f.u.
* total DFT energy (no corrections): -7.15 eV per atom
* calculated formation energy: 811 meV/atom

---

No. 3
This record from Alexandria describes a relaxed structure of TlZnW2. The functional is GGA-PBEsol.

Structure (CIF):
```
data_TlZnW2
_space_group_name_H-M_alt 'P 1'
_space_group_IT_number 1
_cell_length_a 4.888
_cell_length_b 4.888
_cell_length_c 4.888
_cell_angle_alpha 130.47
_cell_angle_beta 130.47
_cell_angle_gamma 72.66
loop_
_space_group_symop_operation_xyz
'x,y,z'
loop_
_atom_site_label
_atom_site_type_symbol
_atom_site_fract_x
_atom_site_fract_y
_atom_site_fract_z
Tl1 Tl 0.000 0.000 0.000
Zn1 Zn 0.250 0.750 0.500
W1 W 0.500 0.500 0.000
W2 W 0.750 0.250 0.500
```

Results
* volume: 16.51 A^3/atom
* ΔE to the lowest computed polymorph: 95 kJ/mol of formula units
* N(E_F): 2.3 states/eV/f.u.
* total DFT energy (no corrections): -7.19 eV per atom
* calculated formation energy: 765 meV/atom

---

No. 4
This record from Alexandria describes a relaxed structure of TlZnW2. The functional is GGA-PBEsol.

Structure (CIF):
```
data_TlZnW2
_space_group_name_H-M_alt 'P 1'
_space_group_IT_number 1
_cell_length_a 5.041
_cell_length_b 5.041
_cell_length_c 4.579
_cell_angle_alpha 104.99
_cell_angle_beta 104.99
_cell_angle_gamma 36.51
loop_
_space_group_symop_operation_xyz
'x,y,z'
loop_
_atom_site_label
_atom_site_type_symbol
_atom_site_fract_x
_atom_site_fract_y
_atom_site_fract_z
Tl1 Tl 0.000 0.000 0.000
Zn1 Zn 0.500 0.500 0.500
W1 W 0.245 0.245 0.735
W2 W 0.755 0.755 0.265
```

Results
* volume: 16.65 A^3/atom
* ΔE to the lowest computed polymorph: 61 kJ/mol of formula units
* N(E_F): 2.8 states/eV/f.u.
* total DFT energy (no corrections): -7.28 eV per atom
* calculated formation energy: 678 meV/atom